# TcNi3 PBE optimized geometry
# - Calculated formation energy: 0.054 eV per atom
data_TcNi3
_symmetry_space_group_name_H-M 'I m m 2'
_symmetry_Int_Tables_number 44
_symmetry_space_group_name_Hall 'I 2 -2'
_cell_length_a 2.571
_cell_length_b 8.281
_cell_length_c 4.434
_cell_angle_alpha 90.00
_cell_angle_beta 90.00
_cell_angle_gamma 90.00
loop_
_atom_site_label
_atom_site_type_symbol
_atom_site_fract_x
_atom_site_fract_y
_atom_site_fract_z
Tc1 Tc 0.000 0.000 0.000
Ni1 Ni 0.000 0.247 0.652
Ni2 Ni 0.000 0.500 0.994